Entry 1:
# NbGaI3 PBE-GGA relaxed
# Raw formation energy (eV per atom): 0.701
# Total moment (μB/cell): 3.702
# Offset from the most stable computed form (meV per atom): 656
data_NbGaI3
_cell_length_a 5.6339
_cell_length_b 5.6339
_cell_length_c 5.6339
_cell_angle_alpha 90.00
_cell_angle_beta 90.00
_cell_angle_gamma 90.00
_space_group_name_H-M_alt 'P m -3 m'
_space_group_IT_number 221
_space_group_name_Hall '-P 4 2 3'
loop_
_atom_site_label
_atom_site_type_symbol
_atom_site_fract_x
_atom_site_fract_y
_atom_site_fract_z
Nb1 Nb 0.0000 0.0000 0.0000
Ga1 Ga 0.5000 0.5000 0.5000
I1 I 0.0000 0.5000 0.5000



Entry 2:
# La2H2Ir PBE-GGA relaxed
# Total moment (μB/cell): 0.000
# Offset from the most stable computed form (meV per atom): 1073
data_La2H2Ir
_cell_length_a 4.2655
_cell_length_b 4.2655
_cell_length_c 5.1505
_cell_angle_alpha 90.00
_cell_angle_beta 90.00
_cell_angle_gamma 90.00
_space_group_name_H-M_alt 'P 4/m m m'
_space_group_IT_number 123
_space_group_name_Hall '-P 4 2'
loop_
_atom_site_label
_atom_site_type_symbol
_atom_site_fract_x
_atom_site_fract_y
_atom_site_fract_z
La1 La 0.0000 0.0000 0.0000
La2 La 0.5000 0.5000 0.0000
H1 H 0.0000 0.5000 0.5000
Ir1 Ir 0.0000 0.0000 0.5000



Entry 3:
# CdCuGe2N PBE-GGA relaxed
# Raw formation energy (eV per atom): 0.487
# Total moment (μB/cell): 0.000
data_CdCuGe2N
_cell_length_a 4.7882
_cell_length_b 4.7882
_cell_length_c 3.6695
_cell_angle_alpha 90.00
_cell_angle_beta 90.00
_cell_angle_gamma 90.00
_space_group_name_H-M_alt 'P 4/m m m'
_space_group_IT_number 123
_space_group_name_Hall '-P 4 2'
loop_
_atom_site_label
_atom_site_type_symbol
_atom_site_fract_x
_atom_site_fract_y
_atom_site_fract_z
Cd1 Cd 0.0000 0.0000 0.0000
Cu1 Cu 0.5000 0.5000 0.0000
Ge1 Ge 0.0000 0.5000 0.5000
N1 N 0.5000 0.5000 0.5000



Entry 4:
# BaDyZn PBE-GGA relaxed
# Total moment (μB/cell): 0.001
# Offset from the most stable computed form (meV per atom): 123
# Formation energy (eV per atom): 0.044
data_BaDyZn
_cell_length_a 7.1013
_cell_length_b 4.0868
_cell_length_c 15.2047
_cell_angle_alpha 90.00
_cell_angle_beta 99.21
_cell_angle_gamma 90.00
_space_group_name_H-M_alt 'C 1 2/m 1'
_space_group_IT_number 12
loop_
_space_group_symop_operation_xyz
'x,y,z'
'-x,-y,-z'
'-x,y,-z'
'x,-y,z'
'x+1/2,y+1/2,z'
'-x+1/2,-y+1/2,-z'
'-x+1/2,y+1/2,-z'
'x+1/2,-y+1/2,z'
loop_
_atom_site_label
_atom_site_type_symbol
_atom_site_fract_x
_atom_site_fract_y
_atom_site_fract_z
Ba1 Ba 0.2078 0.0000 0.1342
Dy1 Dy 0.1959 0.5000 0.5862
Zn1 Zn 0.0957 0.5000 0.2938



Entry 5:
# AcZn2SnPd5 PBE-GGA relaxed
# Total moment (μB/cell): 0.000
# Formation energy (eV per atom): -0.440
data_AcZn2SnPd5
_cell_length_a 4.8253
_cell_length_b 4.8253
_cell_length_c 7.4760
_cell_angle_alpha 90.00
_cell_angle_beta 90.00
_cell_angle_gamma 90.00
_space_group_name_H-M_alt 'P 4/m m m'
_space_group_IT_number 123
_space_group_name_Hall '-P 4 2'
loop_
_atom_site_label
_atom_site_type_symbol
_atom_site_fract_x
_atom_site_fract_y
_atom_site_fract_z
Ac1 Ac 0.0000 0.0000 0.0000
Zn1 Zn 0.5000 0.5000 0.3361
Sn1 Sn 0.0000 0.0000 0.5000
Pd1 Pd 0.0000 0.5000 0.2894
Pd2 Pd 0.5000 0.5000 0.0000



Entry 6:
# La2InCu PBE-GGA relaxed
# Total moment (μB/cell): 0.000
# Formation energy (eV per atom): -0.177
data_La2InCu
_cell_length_a 4.5906
_cell_length_b 4.5906
_cell_length_c 10.2090
_cell_angle_alpha 90.00
_cell_angle_beta 90.00
_cell_angle_gamma 90.00
_space_group_name_H-M_alt 'I -4 m 2'
_space_group_IT_number 119
_space_group_name_Hall 'I -4 -2'
loop_
_atom_site_label
_atom_site_type_symbol
_atom_site_fract_x
_atom_site_fract_y
_atom_site_fract_z
La1 La 0.0000 0.0000 0.0000
La2 La 0.0000 0.5000 0.2500
In1 In 0.0000 0.0000 0.5000
Cu1 Cu 0.0000 0.5000 0.7500



Entry 7:
# SrAl12O19 PBE-GGA relaxed
# Raw formation energy (eV per atom): -3.026
# Total moment (μB/cell): 0.000
data_SrAl12O19
_cell_length_a 5.6211
_cell_length_b 5.6211
_cell_length_c 22.2496
_cell_angle_alpha 90.00
_cell_angle_beta 90.00
_cell_angle_gamma 120.00
_space_group_name_H-M_alt 'P 63 m c'
_space_group_IT_number 186
_space_group_name_Hall 'P 6c -2c'
loop_
_atom_site_label
_atom_site_type_symbol
_atom_site_fract_x
_atom_site_fract_y
_atom_site_fract_z
Sr1 Sr 0.3333 0.6667 0.0000
Al1 Al 0.0000 0.0000 0.2473
Al2 Al 0.0000 0.0000 0.4865
Al3 Al 0.1677 0.3354 0.1388
Al4 Al 0.1695 0.3389 0.8555
Al5 Al 0.3333 0.6667 0.2754
Al6 Al 0.3333 0.6667 0.4375
Al7 Al 0.3333 0.6667 0.5571
Al8 Al 0.3333 0.6667 0.7195
O1 O 0.0000 0.0000 0.1013
O2 O 0.0000 0.0000 0.3973
O3 O 0.0046 0.5023 0.0992
O4 O 0.0052 0.5026 0.8954
O5 O 0.1546 0.3093 0.2999
O6 O 0.1557 0.3113 0.6966
O7 O 0.1810 0.3620 0.4963
O8 O 0.3333 0.6667 0.1932
O9 O 0.3333 0.6667 0.8020



Entry 8:
# CeNdAg4 PBE-GGA relaxed
# Total moment (μB/cell): 5.994
# Offset from the most stable computed form (meV per atom): 0
# Formation energy (eV per atom): -0.199
data_CeNdAg4
_cell_length_a 6.6589
_cell_length_b 16.9927
_cell_length_c 4.9067
_cell_angle_alpha 90.00
_cell_angle_beta 90.00
_cell_angle_gamma 90.00
_space_group_name_H-M_alt 'C m c m'
_space_group_IT_number 63
_space_group_name_Hall '-C 2c 2'
loop_
_atom_site_label
_atom_site_type_symbol
_atom_site_fract_x
_atom_site_fract_y
_atom_site_fract_z
Ce1 Ce 0.0000 0.1269 0.2500
Nd1 Nd 0.0000 0.3769 0.7500
Ag1 Ag 0.2423 0.0417 0.7500
Ag2 Ag 0.2488 0.2083 0.7500